DyTm2Mg4In2 | PBE | optimized geometry

Output
Energy, eV/atom: -3.06
Spin magnetization, μB per cell: 0.004

Cell: 4.638 7.534 7.534 Å, 120.26 90.00 90.00°
Positions (direct):
Dy  0.000  0.000  0.000
Tm  0.000  0.436  0.875
Tm  0.000  0.875  0.436
Mg  0.000  0.440  0.440
Mg  0.500  0.195  0.437
Mg  0.500  0.437  0.195
Mg  0.500  0.681  0.681
In  0.500  0.104  0.769
In  0.500  0.769  0.104

DyInNO | PBE | optimized geometry

Output
Energy, eV/atom: -6.48
Spin magnetization, μB per cell: 0.002
E above lowest polymorph, meV per atom: 153.3

Cell: 3.498 3.498 4.750 Å, 90.00 90.00 90.00°
Positions (direct):
Dy  0.000  0.000  0.000
In  0.500  0.500  0.500
N  0.500  0.500  0.000
O  0.000  0.000  0.500

DyInNO | PBE | optimized geometry

Output
Energy, eV/atom: -6.46
Spin magnetization, μB per cell: 0.005
E above lowest polymorph, meV per atom: 179.0

Cell: 3.780 6.565 5.786 Å, 90.00 90.00 90.00°
Positions (direct):
Dy  0.000  0.174  0.000
Dy  0.000  0.826  0.500
In  0.500  0.327  0.483
In  0.500  0.673  0.983
N  0.000  0.154  0.388
N  0.000  0.846  0.888
O  0.500  0.309  0.885
O  0.500  0.691  0.385

DyInNO | PBE | optimized geometry

Output
Energy, eV/atom: -6.48
Spin magnetization, μB per cell: 0.003
E above lowest polymorph, meV per atom: 153.2

Cell: 4.947 4.947 4.753 Å, 90.00 90.00 90.00°
Positions (direct):
Dy  0.250  0.750  0.000
Dy  0.750  0.250  0.000
In  0.250  0.250  0.500
In  0.750  0.750  0.500
N  0.250  0.250  0.001
N  0.750  0.750  0.999
O  0.250  0.750  0.500
O  0.750  0.250  0.500